Computed, not measured: crystalline MgMoOs at its relaxed geometry at the GGA-PBE level of DFT.

Cell: 4.4132 4.4132 2.7704 Å, 90.00 90.00 120.00°
Closest atoms and distances in Å follow each position.
Element x y z (fractional)
Mg (0.0000, 0.0000, 0.0000)  3 Os 2.74, 6 Mo 2.77-3.06, 2 Mg 2.77
Mo (0.6667, 0.3333, 0.3878)  3 Os 2.64, 3 Mg 2.77, 2 Mo 2.77
Os (0.3333, 0.6667, 0.6360)  3 Mo 2.64, 3 Mg 2.74, 2 Os 2.77

Properties
V ... 15.58 Å³ per atom
E above lowest polymorph ... 83.3 meV/atom